This record from the Alexandria database describes a relaxed Ga12Sn3H5 crystal. The functional is PBE-GGA.

Unit cell a=14.144 b=14.144 c=14.144 alpha=90.00 beta=90.00 gamma=90.00
Space group Ia-3d (No. 230)
One atom of each set of equivalent atoms:
Ga1 0.048 0.138 0.947 x96
Sn1 0.000 0.250 0.125 x24
H1 0.000 0.000 0.000 x16
H2 0.000 0.250 0.375 x24

Computed properties:
calculated total energy: -479.03 eV for the cell shown
V: 17.685 Å³ per atom

This record from the Alexandria database describes a relaxed PrSm5Dy4 crystal. The functional is PBE-GGA.

Unit cell a=18.693 b=3.604 c=10.184 alpha=90.00 beta=106.00 gamma=90.00
Space group C2/m (No. 12)
One atom of each set of equivalent atoms:
Pr1 0.000 0.000 0.000 x2
Sm1 0.000 0.000 0.500 x2
Sm2 0.101 0.500 0.801 x4
Sm3 0.200 0.000 0.600 x4
Dy1 0.101 0.500 0.300 x4
Dy2 0.200 0.000 0.100 x4

Computed properties:
calculated total energy: -93.26 eV for the cell shown
V: 32.971 Å³ per atom

This record from the Alexandria database describes a relaxed Ca2ZnHg2Pd5 crystal. The functional is PBE-GGA.

Unit cell a=10.243 b=10.243 c=3.779 alpha=90.00 beta=90.00 gamma=90.00
Space group P4/mbm (No. 127)
One atom of each set of equivalent atoms:
Ca1 0.167 0.333 0.000 x4
Zn1 0.000 0.000 0.000 x2
Hg1 0.135 0.635 0.000 x4
Pd1 0.000 0.500 0.500 x2
Pd2 0.052 0.814 0.500 x8

Computed properties:
calculated total energy: -72.35 eV for the cell shown
V: 19.822 Å³ per atom

This record from the Alexandria database describes a relaxed ThSnTe2N crystal. The functional is PBE-GGA.

Unit cell a=4.155 b=4.155 c=16.745 alpha=90.00 beta=90.00 gamma=90.00
Space group P4/nmm (No. 129, origin choice 2)
One atom of each set of equivalent atoms:
Th1 0.250 0.250 0.068 x2
Sn1 0.250 0.250 0.651 x2
Te1 0.250 0.250 0.399 x2
Te2 0.250 0.250 0.821 x2
N1 0.250 0.750 0.000 x2

Computed properties:
formation energy (no corrections): -0.9853 eV per atom
V: 28.914 Å³ per atom